(1)
# BaHf3Cd, single point on PBEsol structure, DFT SCAN
# - Calculated volume: 29.76 Å³/atom
# - Energy of formation: 1166 meV/atom
data_BaHf3Cd
_cell_length_a 5.299
_cell_length_b 5.299
_cell_length_c 5.299
_cell_angle_alpha 90.00
_cell_angle_beta 90.00
_cell_angle_gamma 90.00
_space_group_name_H-M_alt 'P m -3 m'
_space_group_IT_number 221
_space_group_name_Hall '-P 4 2 3'
loop_
_atom_site_label
_atom_site_fract_x
_atom_site_fract_y
_atom_site_fract_z
_atom_site_occupancy
Ba1 0.000 0.000 0.000 1
Hf1 0.000 0.500 0.500 1
Cd1 0.500 0.500 0.500 1

***

(2)
# BaHfCd2Ni, single point on PBEsol structure, DFT SCAN
# - Calculated volume: 24.53 Å³/atom
# - Energy of formation: 71 meV/atom
data_BaHfCd2Ni
_cell_length_a 5.072
_cell_length_b 5.072
_cell_length_c 4.767
_cell_angle_alpha 90.00
_cell_angle_beta 90.00
_cell_angle_gamma 90.00
_space_group_name_H-M_alt 'P 4/m m m'
_space_group_IT_number 123
_space_group_name_Hall '-P 4 2'
loop_
_atom_site_label
_atom_site_fract_x
_atom_site_fract_y
_atom_site_fract_z
_atom_site_occupancy
Ba1 0.000 0.000 0.000 1
Hf1 0.500 0.500 0.000 1
Cd1 0.000 0.500 0.500 1
Ni1 0.500 0.500 0.500 1

***

(3)
# BaCdHg, single point on PBEsol structure, DFT SCAN
# - Calculated volume: 34.31 Å³/atom
# - Energy of formation: -262 meV/atom
data_BaCdHg
_cell_length_a 7.439
_cell_length_b 7.439
_cell_length_c 7.439
_cell_angle_alpha 90.00
_cell_angle_beta 90.00
_cell_angle_gamma 90.00
_space_group_name_H-M_alt 'F -4 3 m'
_space_group_IT_number 216
_space_group_name_Hall 'F -4 2 3'
loop_
_atom_site_label
_atom_site_fract_x
_atom_site_fract_y
_atom_site_fract_z
_atom_site_occupancy
Ba1 0.000 0.000 0.000 1
Cd1 0.250 0.250 0.750 1
Hg1 0.000 0.000 0.500 1

***

(4)
# Ba2CdHg, single point on PBEsol structure, DFT SCAN
# - Calculated volume: 35.06 Å³/atom
# - Energy of formation: -522 meV/atom
data_Ba2CdHg
_cell_length_a 5.833
_cell_length_b 5.833
_cell_length_c 4.122
_cell_angle_alpha 90.00
_cell_angle_beta 90.00
_cell_angle_gamma 90.00
_space_group_name_H-M_alt 'P 4/m m m'
_space_group_IT_number 123
_space_group_name_Hall '-P 4 2'
loop_
_atom_site_label
_atom_site_fract_x
_atom_site_fract_y
_atom_site_fract_z
_atom_site_occupancy
Ba1 0.000 0.500 0.000 1
Cd1 0.000 0.000 0.500 1
Hg1 0.500 0.500 0.500 1

***

(5)
# Ba2CdHg, single point on PBEsol structure, DFT SCAN
# - Calculated volume: 34.15 Å³/atom
# - Energy of formation: -431 meV/atom
data_Ba2CdHg
_cell_length_a 12.619
_cell_length_b 4.020
_cell_length_c 5.780
_cell_angle_alpha 90.00
_cell_angle_beta 111.30
_cell_angle_gamma 90.00
_space_group_name_H-M_alt 'C 1 m 1'
_space_group_IT_number 8
loop_
_space_group_symop_operation_xyz
'x,y,z'
'x,-y,z'
'x+1/2,y+1/2,z'
'x+1/2,-y+1/2,z'
loop_
_atom_site_label
_atom_site_fract_x
_atom_site_fract_y
_atom_site_fract_z
_atom_site_occupancy
Ba1 0.000 0.000 0.000 1
Ba2 0.194 0.000 0.652 1
Cd1 0.433 0.000 0.439 1
Hg1 0.250 0.500 0.198 1

***

(6)
# BaCd4Hg, single point on PBEsol structure, DFT SCAN
# - Calculated volume: 25.74 Å³/atom
# - Energy of formation: -205 meV/atom
data_BaCd4Hg
_cell_length_a 8.517
_cell_length_b 8.517
_cell_length_c 8.517
_cell_angle_alpha 90.00
_cell_angle_beta 90.00
_cell_angle_gamma 90.00
_space_group_name_H-M_alt 'F -4 3 m'
_space_group_IT_number 216
_space_group_name_Hall 'F -4 2 3'
loop_
_atom_site_label
_atom_site_fract_x
_atom_site_fract_y
_atom_site_fract_z
_atom_site_occupancy
Ba1 0.000 0.000 0.000 1
Cd1 0.124 0.124 0.624 1
Hg1 0.250 0.250 0.250 1